(1)
# PBE Pr7Mg2Sc2, relaxed
# - ρ: 4.99 Mg/m³
# - VASP energy: -4.2130 eV/atom
data_Pr7Mg2Sc2
_space_group_name_H-M_alt 'C m m m'
_space_group_IT_number 65
_space_group_name_Hall '-C 2 2'
_cell_length_a 6.616
_cell_length_b 11.887
_cell_length_c 9.519
_cell_angle_alpha 90.00
_cell_angle_beta 90.00
_cell_angle_gamma 90.00
loop_
_atom_site_label
_atom_site_fract_x
_atom_site_fract_y
_atom_site_fract_z
_atom_site_occupancy
Pr1 0.000 0.000 0.000 1
Pr2 0.000 0.500 0.195 1
Pr3 0.250 0.250 0.310 1
Mg1 0.230 0.000 0.500 1
Sc1 0.000 0.275 0.000 1

(2)
# PBE TaTi2Ru2, relaxed
# - ρ: 9.91 Mg/m³
# - E above lowest polymorph: 0 meV per atom
data_TaTi2Ru2
_space_group_name_H-M_alt 'P 4/m b m'
_space_group_IT_number 127
_space_group_name_Hall '-P 4 2ab'
_cell_length_a 7.245
_cell_length_b 7.245
_cell_length_c 3.057
_cell_angle_alpha 90.00
_cell_angle_beta 90.00
_cell_angle_gamma 90.00
loop_
_atom_site_label
_atom_site_fract_x
_atom_site_fract_y
_atom_site_fract_z
_atom_site_occupancy
Ta1 0.000 0.000 0.000 1
Ti1 0.158 0.342 0.500 1
Ru1 0.143 0.643 0.000 1

(3)
# PBE Cs3Tl5As2, relaxed
# - ρ: 6.76 Mg/m³
# - VASP energy: -2.5521 eV/atom
data_Cs3Tl5As2
_space_group_name_H-M_alt 'I b a m'
_space_group_IT_number 72
_space_group_name_Hall '-I 2 2c'
_cell_length_a 11.830
_cell_length_b 16.689
_cell_length_c 7.821
_cell_angle_alpha 90.00
_cell_angle_beta 90.00
_cell_angle_gamma 90.00
loop_
_atom_site_label
_atom_site_fract_x
_atom_site_fract_y
_atom_site_fract_z
_atom_site_occupancy
Cs1 0.000 0.000 0.250 1
Cs2 0.244 0.142 0.000 1
Tl1 0.000 0.263 0.250 1
Tl2 0.000 0.500 0.250 1
Tl3 0.150 0.383 0.000 1
As1 0.119 0.160 0.500 1

(4)
# PBE Ca3Te12P5, relaxed
# - ρ: 4.72 Mg/m³
# - ΔE_f (raw): -0.26 eV per atom
data_Ca3Te12P5
_space_group_name_H-M_alt 'I a -3 d'
_space_group_IT_number 230
_space_group_name_Hall '-I 4bd 2c 3'
_cell_length_a 17.189
_cell_length_b 17.189
_cell_length_c 17.189
_cell_angle_alpha 90.00
_cell_angle_beta 90.00
_cell_angle_gamma 90.00
loop_
_atom_site_label
_atom_site_fract_x
_atom_site_fract_y
_atom_site_fract_z
_atom_site_occupancy
Ca1 0.000 0.250 0.125 1
Te1 0.025 0.056 0.649 1
P1 0.000 0.000 0.000 1
P2 0.000 0.250 0.375 1

(5)
# PBE K2Pm2PuO6, relaxed
# - ρ: 5.57 Mg/m³
# - ΔE_f (raw): -2.74 eV per atom
data_K2Pm2PuO6
_space_group_name_H-M_alt 'C 1 2/m 1'
_space_group_IT_number 12
_cell_length_a 6.188
_cell_length_b 10.677
_cell_length_c 6.685
_cell_angle_alpha 90.00
_cell_angle_beta 107.18
_cell_angle_gamma 90.00
loop_
_space_group_symop_operation_xyz
'x,y,z'
'-x,-y,-z'
'-x,y,-z'
'x,-y,z'
'x+1/2,y+1/2,z'
'-x+1/2,-y+1/2,-z'
'-x+1/2,y+1/2,-z'
'x+1/2,-y+1/2,z'
loop_
_atom_site_label
_atom_site_fract_x
_atom_site_fract_y
_atom_site_fract_z
_atom_site_occupancy
K1 0.000 0.166 0.000 1
Pm1 0.000 0.334 0.500 1
Pu1 0.000 0.000 0.500 1
O1 0.212 0.163 0.676 1
O2 0.249 0.500 0.675 1

(6)
# PBE KBa3Pd, relaxed
# - ρ: 3.19 Mg/m³
# - E above lowest polymorph: 1155 meV per atom
data_KBa3Pd
_space_group_name_H-M_alt 'P m -3 m'
_space_group_IT_number 221
_space_group_name_Hall '-P 4 2 3'
_cell_length_a 6.623
_cell_length_b 6.623
_cell_length_c 6.623
_cell_angle_alpha 90.00
_cell_angle_beta 90.00
_cell_angle_gamma 90.00
loop_
_atom_site_label
_atom_site_fract_x
_atom_site_fract_y
_atom_site_fract_z
_atom_site_occupancy
K1 0.000 0.000 0.000 1
Ba1 0.000 0.000 0.500 1
Pd1 0.500 0.500 0.500 1